Entry 1:
Entry from Alexandria via LeMat-Bulk: a geometry-optimized Fe2WCl structure (PBE-GGA).

Lattice parameters (Å, degrees): 4.982 4.982 4.982 147.57 128.08 62.56
Fractional positions:
Fe1 0.019 0.019 0.000
Fe2 0.481 0.481 0.000
W1 0.750 0.250 0.500
Cl1 0.250 0.750 0.500

Values from the calculation:
relative energy among the computed polymorphs	0.409	eV per atom
size of the total moment	2.84	μB/cell
final energy	-0.529	Ry per atom
N(E_F)	4.43	states/eV per cell
formation energy without anion corrections	727	meV/atom



Entry 2:
Entry from Alexandria via LeMat-Bulk: a geometry-optimized Fe2WCl structure (PBE-GGA).

Lattice parameters (Å, degrees): 5.409 5.409 6.060 63.50 63.50 90.00
Fractional positions:
Fe1 0.603 0.125 0.250
Fe2 0.147 0.625 0.250
Fe3 0.375 0.397 0.750
Fe4 0.875 0.853 0.750
W1 0.000 0.000 0.000
W2 0.750 0.250 0.500
Cl1 0.500 0.500 0.000
Cl2 0.250 0.750 0.500

Values from the calculation:
relative energy among the computed polymorphs	0.628	eV per atom
size of the total moment	2.00	μB/cell
final energy	-0.513	Ry per atom
N(E_F)	9.53	states/eV per cell
formation energy without anion corrections	946	meV/atom